(w)
# YZr3B GGA-PBE relaxed
# total moment	0.00	Bohr magnetons per cell
# crystal system	cubic
data_YZr3B
_space_group_name_H-M_alt 'P 1'
_space_group_IT_number 1
_cell_length_a 5.1327
_cell_length_b 5.1327
_cell_length_c 5.1327
_cell_angle_alpha 90.00
_cell_angle_beta 90.00
_cell_angle_gamma 90.00
loop_
_space_group_symop_operation_xyz
'x,y,z'
loop_
_atom_site_label
_atom_site_fract_x
_atom_site_fract_y
_atom_site_fract_z
Y1 0.0000 0.0000 0.0000
Zr1 0.0000 0.0000 0.5000
Zr2 0.0000 0.5000 0.0000
Zr3 0.5000 0.0000 0.0000
B1 0.5000 0.5000 0.5000


(x)
# YZr3B GGA-PBE relaxed
# total moment	1.77	Bohr magnetons per cell
# crystal system	cubic
data_YZr3B
_space_group_name_H-M_alt 'P 1'
_space_group_IT_number 1
_cell_length_a 4.8093
_cell_length_b 4.8093
_cell_length_c 4.8093
_cell_angle_alpha 90.00
_cell_angle_beta 90.00
_cell_angle_gamma 90.00
loop_
_space_group_symop_operation_xyz
'x,y,z'
loop_
_atom_site_label
_atom_site_fract_x
_atom_site_fract_y
_atom_site_fract_z
Y1 0.0000 0.0000 0.0000
Zr1 0.0000 0.5000 0.5000
Zr2 0.5000 0.0000 0.5000
Zr3 0.5000 0.5000 0.0000
B1 0.5000 0.5000 0.5000


Energetically preferred structure: (x) | next structure: +2311 meV per atom


(w)
# YZrB2 GGA-PBE relaxed
# total moment	0.00	Bohr magnetons per cell
# crystal system	tetragonal
data_YZrB2
_space_group_name_H-M_alt 'P 1'
_space_group_IT_number 1
_cell_length_a 7.5964
_cell_length_b 7.5964
_cell_length_c 7.5964
_cell_angle_alpha 142.21
_cell_angle_beta 142.21
_cell_angle_gamma 54.51
loop_
_space_group_symop_operation_xyz
'x,y,z'
loop_
_atom_site_label
_atom_site_fract_x
_atom_site_fract_y
_atom_site_fract_z
Y1 0.0000 0.0000 0.0000
Y2 0.7500 0.2500 0.5000
Zr1 0.2500 0.7500 0.5000
Zr2 0.5000 0.5000 0.0000
B1 0.1798 0.6250 0.0548
B2 0.3750 0.4298 0.5548
B3 0.5702 0.1250 0.9452
B4 0.8750 0.8202 0.4452


(x)
# YZrB2 GGA-PBE relaxed
# total moment	0.00	Bohr magnetons per cell
# crystal system	cubic
data_YZrB2
_space_group_name_H-M_alt 'P 1'
_space_group_IT_number 1
_cell_length_a 4.4153
_cell_length_b 4.4153
_cell_length_c 4.4153
_cell_angle_alpha 60.00
_cell_angle_beta 60.00
_cell_angle_gamma 60.00
loop_
_space_group_symop_operation_xyz
'x,y,z'
loop_
_atom_site_label
_atom_site_fract_x
_atom_site_fract_y
_atom_site_fract_z
Y1 0.0000 0.0000 0.0000
Zr1 0.5000 0.5000 0.5000
B1 0.2500 0.2500 0.2500
B2 0.7500 0.7500 0.7500


Energetically preferred structure: (x) | next structure: +392 meV per atom


(w)
# ZrZn2B2 GGA-PBE relaxed
# total moment	0.00	Bohr magnetons per cell
# crystal system	tetragonal
data_ZrZn2B2
_space_group_name_H-M_alt 'P 1'
_space_group_IT_number 1
_cell_length_a 6.8314
_cell_length_b 6.8314
_cell_length_c 2.7263
_cell_angle_alpha 90.00
_cell_angle_beta 90.00
_cell_angle_gamma 90.00
loop_
_space_group_symop_operation_xyz
'x,y,z'
loop_
_atom_site_label
_atom_site_fract_x
_atom_site_fract_y
_atom_site_fract_z
Zr1 0.0000 0.0000 0.0000
Zr2 0.5000 0.5000 0.0000
Zn1 0.1232 0.3768 0.0000
Zn2 0.3768 0.8768 0.0000
Zn3 0.6232 0.1232 0.0000
Zn4 0.8768 0.6232 0.0000
B1 0.1809 0.6809 0.5000
B2 0.3191 0.1809 0.5000
B3 0.6809 0.8191 0.5000
B4 0.8191 0.3191 0.5000


(x)
# ZrZn2B2 GGA-PBE relaxed
# total moment	0.00	Bohr magnetons per cell
# crystal system	tetragonal
data_ZrZn2B2
_space_group_name_H-M_alt 'P 1'
_space_group_IT_number 1
_cell_length_a 5.0129
_cell_length_b 5.0129
_cell_length_c 5.0129
_cell_angle_alpha 135.00
_cell_angle_beta 135.00
_cell_angle_gamma 65.54
loop_
_space_group_symop_operation_xyz
'x,y,z'
loop_
_atom_site_label
_atom_site_fract_x
_atom_site_fract_y
_atom_site_fract_z
Zr1 0.0000 0.0000 0.0000
Zn1 0.3595 0.3595 0.0000
Zn2 0.6405 0.6405 0.0000
B1 0.2500 0.7500 0.5000
B2 0.7500 0.2500 0.5000


Energetically preferred structure: (x) | next structure: +347 meV per atom


(w)
# ZrZnB3 GGA-PBE relaxed
# total moment	0.00	Bohr magnetons per cell
# crystal system	cubic
data_ZrZnB3
_space_group_name_H-M_alt 'P 1'
_space_group_IT_number 1
_cell_length_a 4.4337
_cell_length_b 4.4337
_cell_length_c 4.4337
_cell_angle_alpha 90.00
_cell_angle_beta 90.00
_cell_angle_gamma 90.00
loop_
_space_group_symop_operation_xyz
'x,y,z'
loop_
_atom_site_label
_atom_site_fract_x
_atom_site_fract_y
_atom_site_fract_z
Zr1 0.0000 0.0000 0.0000
Zn1 0.5000 0.5000 0.5000
B1 0.0000 0.0000 0.5000
B2 0.0000 0.5000 0.0000
B3 0.5000 0.0000 0.0000


(x)
# ZrZnB3 GGA-PBE relaxed
# total moment	0.00	Bohr magnetons per cell
# crystal system	cubic
data_ZrZnB3
_space_group_name_H-M_alt 'P 1'
_space_group_IT_number 1
_cell_length_a 3.9558
_cell_length_b 3.9558
_cell_length_c 3.9558
_cell_angle_alpha 90.00
_cell_angle_beta 90.00
_cell_angle_gamma 90.00
loop_
_space_group_symop_operation_xyz
'x,y,z'
loop_
_atom_site_label
_atom_site_fract_x
_atom_site_fract_y
_atom_site_fract_z
Zr1 0.0000 0.0000 0.0000
Zn1 0.5000 0.5000 0.5000
B1 0.0000 0.5000 0.5000
B2 0.5000 0.0000 0.5000
B3 0.5000 0.5000 0.0000


Energetically preferred structure: (x) | next structure: +639 meV per atom


(w)
# Ba GGA-PBE relaxed
# total moment	0.00	Bohr magnetons per cell
# crystal system	hexagonal
data_Ba
_space_group_name_H-M_alt 'P 1'
_space_group_IT_number 1
_cell_length_a 14.8814
_cell_length_b 14.8814
_cell_length_c 4.2121
_cell_angle_alpha 90.00
_cell_angle_beta 90.00
_cell_angle_gamma 120.00
loop_
_space_group_symop_operation_xyz
'x,y,z'
loop_
_atom_site_label
_atom_site_fract_x
_atom_site_fract_y
_atom_site_fract_z
Ba1 0.0621 0.2918 0.2500
Ba2 0.1479 0.6172 0.2500
Ba3 0.2298 0.9379 0.2500
Ba4 0.2918 0.2298 0.7500
Ba5 0.3828 0.5308 0.2500
Ba6 0.4692 0.8521 0.2500
Ba7 0.5308 0.1479 0.7500
Ba8 0.6172 0.4692 0.7500
Ba9 0.7082 0.7702 0.2500
Ba10 0.7702 0.0621 0.7500
Ba11 0.8521 0.3828 0.7500
Ba12 0.9379 0.7082 0.7500


(x)
# Ba GGA-PBE relaxed
# total moment	5.23	Bohr magnetons per cell
# crystal system	cubic
data_Ba
_space_group_name_H-M_alt 'P 1'
_space_group_IT_number 1
_cell_length_a 11.3434
_cell_length_b 11.3434
_cell_length_c 11.3434
_cell_angle_alpha 109.47
_cell_angle_beta 109.47
_cell_angle_gamma 109.47
loop_
_space_group_symop_operation_xyz
'x,y,z'
loop_
_atom_site_label
_atom_site_fract_x
_atom_site_fract_y
_atom_site_fract_z
Ba1 0.0000 0.0000 0.2197
Ba2 0.0000 0.0000 0.5999
Ba3 0.0000 0.2197 0.0000
Ba4 0.0000 0.5999 0.0000
Ba5 0.2197 0.0000 0.0000
Ba6 0.4001 0.4001 0.4001
Ba7 0.5999 0.0000 0.0000
Ba8 0.7803 0.7803 0.7803


(y)
# Ba GGA-PBE relaxed
# total moment	0.00	Bohr magnetons per cell
# crystal system	cubic
data_Ba
_space_group_name_H-M_alt 'P 1'
_space_group_IT_number 1
_cell_length_a 4.4881
_cell_length_b 4.4881
_cell_length_c 4.4881
_cell_angle_alpha 60.00
_cell_angle_beta 60.00
_cell_angle_gamma 60.00
loop_
_space_group_symop_operation_xyz
'x,y,z'
loop_
_atom_site_label
_atom_site_fract_x
_atom_site_fract_y
_atom_site_fract_z
Ba1 0.0000 0.0000 0.0000


Energetically preferred structure: (y) | next structure: +135 meV per atom